No. 1
{"formula": "In2HgHPt", "functional": "PBE", "state": "optimized geometry", "lattice": [[5.4304, 0.0000, 0.0000], [0.0000, 5.4304, 0.0000], [0.0000, 0.0000, 3.5062]], "species": ["In", "In", "Hg", "H", "Pt"], "frac_coords": [[0.0000, 0.5000, 0.0000], [0.5000, 0.0000, 0.0000], [0.0000, 0.0000, 0.5000], [0.5000, 0.5000, 0.5000], [0.5000, 0.5000, 0.0000]], "relative_energy_ev_per_atom": 0.000, "volume_a3_per_cell": 103.4, "crystal_system": "tetragonal", "e_tot_ev_per_atom": -3.128}

No. 2
{"formula": "Na17In11Ag", "functional": "PBE", "state": "optimized geometry", "lattice": [[5.8409, -8.3242, 0.0000], [5.8409, 8.3242, 0.0000], [-5.7779, 0.0000, 8.3568]], "species": ["Na", "Na", "Na", "Na", "Na", "Na", "Na", "Na", "Na", "Na", "Na", "Na", "Na", "Na", "Na", "Na", "Na", "In", "In", "In", "In", "In", "In", "In", "In", "In", "In", "In", "Ag"], "frac_coords": [[0.0000, 0.0000, 0.0000], [0.0038, 0.0038, 0.6552], [0.2789, 0.5904, 0.5904], [0.3108, 0.7181, 0.3120], [0.3118, 0.3118, 0.7208], [0.3477, 0.3477, 0.3467], [0.4085, 0.9990, 0.6869], [0.4115, 0.6884, 0.9994], [0.5904, 0.2789, 0.5904], [0.5966, 0.5966, 0.2761], [0.6513, 0.9988, 0.0002], [0.6884, 0.4115, 0.9994], [0.6888, 0.9961, 0.4058], [0.7181, 0.3108, 0.3120], [0.9961, 0.6888, 0.4058], [0.9990, 0.4085, 0.6869], [0.9988, 0.6513, 0.0002], [0.1759, 0.9957, 0.3673], [0.1869, 0.3700, 0.0018], [0.1870, 0.8168, 0.8188], [0.3646, 0.9946, 0.1859], [0.3700, 0.1869, 0.0018], [0.6331, 0.6331, 0.8215], [0.6327, 0.8177, 0.6320], [0.8168, 0.1870, 0.8188], [0.8177, 0.6327, 0.6320], [0.9946, 0.3646, 0.1859], [0.9957, 0.1759, 0.3673], [0.8238, 0.8238, 0.1632]], "volume_a3_per_cell": 812.6, "crystal_system": "monoclinic", "e_form_kj_per_mol_atoms": -11, "e_tot_ev_per_atom": -2.019}

No. 3
{"formula": "LaAsPd4", "functional": "PBE", "state": "optimized geometry", "lattice": [[0.0000, 3.8358, 3.8358], [3.8358, 0.0000, 3.8358], [3.8358, 3.8358, 0.0000]], "species": ["La", "As", "Pd", "Pd", "Pd", "Pd"], "frac_coords": [[0.0000, 0.0000, 0.0000], [0.7500, 0.7500, 0.7500], [0.3752, 0.3752, 0.3752], [0.3752, 0.3752, 0.8745], [0.3752, 0.8745, 0.3752], [0.8745, 0.3752, 0.3752]], "relative_energy_ev_per_atom": 0.165, "volume_a3_per_cell": 112.9, "crystal_system": "cubic", "e_form_kj_per_mol_atoms": -46, "e_tot_ev_per_atom": -5.533}

No. 4
{"formula": "ReSi2W", "functional": "PBE", "state": "optimized geometry", "lattice": [[1.4118, 0.8151, 8.2681], [-1.4118, 0.8151, 8.2681], [0.0000, -1.6302, 8.2681]], "species": ["Re", "Si", "Si", "W"], "frac_coords": [[0.0000, 0.0000, 0.0000], [0.2528, 0.2528, 0.2528], [0.7472, 0.7472, 0.7472], [0.5000, 0.5000, 0.5000]], "relative_energy_ev_per_atom": 0.389, "volume_a3_per_cell": 57.1, "crystal_system": "trigonal", "e_form_raw_ev_per_atom": 0.0875, "e_tot_ev_per_atom": -8.974}

No. 5
{"formula": "TbHo4Tm3S8", "functional": "PBE", "state": "optimized geometry", "lattice": [[3.8730, 2.2361, 6.3304], [-3.8730, 2.2361, 6.3304], [0.0000, -4.4721, 6.3304]], "species": ["Tb", "Ho", "Ho", "Ho", "Ho", "Tm", "Tm", "Tm", "S", "S", "S", "S", "S", "S", "S", "S"], "frac_coords": [[0.0000, 0.0000, 0.0000], [0.0000, 0.0000, 0.5000], [0.0000, 0.5000, 0.0000], [0.5000, 0.0000, 0.0000], [0.5000, 0.5000, 0.5000], [0.0000, 0.5000, 0.5000], [0.5000, 0.0000, 0.5000], [0.5000, 0.5000, 0.0000], [0.2515, 0.2515, 0.7455], [0.2515, 0.7455, 0.2515], [0.2515, 0.2515, 0.2515], [0.2545, 0.7485, 0.7485], [0.7455, 0.2515, 0.2515], [0.7485, 0.7485, 0.7485], [0.7485, 0.2545, 0.7485], [0.7485, 0.7485, 0.2545]], "volume_a3_per_cell": 328.9, "crystal_system": "trigonal", "e_form_raw_ev_per_atom": -1.9568, "e_tot_ev_per_atom": -6.293}

No. 6
{"formula": "ZrTaNb6", "functional": "PBE", "state": "optimized geometry", "lattice": [[4.6846, 0.0000, 0.0000], [0.0000, 3.3601, 4.7679], [0.0000, -3.3601, 4.7679]], "species": ["Zr", "Ta", "Nb", "Nb", "Nb", "Nb", "Nb", "Nb"], "frac_coords": [[0.0000, 0.0000, 0.0000], [0.5000, 0.2400, 0.2400], [0.0000, 0.4923, 0.4923], [0.0000, 0.4994, 0.9908], [0.0000, 0.9908, 0.4994], [0.5000, 0.2602, 0.7303], [0.5000, 0.7303, 0.2602], [0.5000, 0.7489, 0.7489]], "relative_energy_ev_per_atom": 0.000, "volume_a3_per_cell": 150.1, "crystal_system": "orthorhombic", "e_form_kj_per_mol_atoms": 3, "e_tot_ev_per_atom": -10.072}